First-principles (PBE) data for crystalline BaGe2RuPb at its relaxed geometry, as listed in Alexandria.

Output
* volume: 33.6 A^3/atom
* DOS(E_F): 1.289 states/eV/atom
* DFT formation energy: 1.61 eV/atom
* crystal system: tetragonal

Cell lengths 5.7627, 5.0527, 5.7627 Å; angles 90.00, 90.00, 90.00 degrees
With the nearest neighbours (Å) after each atom.
Fractional coordinates of all 5 atoms:
1 Pb 0.5000 0.5000 0.5000  8 Ge 3.83, 4 Ru 4.07
2 Ge 0.5000 0.0000 0.0000  2 Ba 2.88
3 Ba 0.0000 0.0000 0.0000  2 Ru 2.53
4 Ru 0.0000 0.5000 0.0000  2 Ba 2.53
5 Ge 0.0000 0.0000 0.5000  2 Ba 2.88